Lu4Nb2Cu3C3: optimized geometry, GGA-PBE.

Lattice parameters (Å, degrees): 9.9243 5.7562 15.0240 90.00 101.38 90.00
With the nearest neighbours (Å) after each atom.
Space group C2/c (No. 15)
Inequivalent atoms, fractional coordinates:
Lu 0.1121 0.0705 0.0922  3 C 2.37-2.40
Lu 0.2156 0.0889 0.4077  3 C 2.38-2.40
Nb 0.0665 0.4113 0.9226  3 C 2.15-2.17
Cu 0.0000 0.0702 0.2500  4 Lu 2.81-2.86, 4 Cu 2.84-2.91
Cu 0.2381 0.3422 0.2490  4 Cu 2.84-2.91, 4 Lu 2.84-2.90
C 0.0756 0.2732 0.5000  2 Nb 2.15, 4 Lu 2.39-2.40
C 0.2500 0.2500 0.0000  2 Nb 2.17, 4 Lu 2.37-2.38

Computed properties:
The crystal system is monoclinic. The calculation puts the total DFT energy (no corrections) at -6.530 eV/atom.